Compound: Mg2AlTl
Source: Alexandria
Functional: PBE
Structure: optimized geometry

- Formation energy: 0.09 eV/atom
- V: 22.659 A^3/atom
- Energy: -8.94 eV/cell

Cell and atoms, written as CIF:
```
data_Mg2AlTl
_cell_length_a 3.844
_cell_length_b 3.844
_cell_length_c 6.135
_cell_angle_alpha 90.00
_cell_angle_beta 90.00
_cell_angle_gamma 90.00
_symmetry_space_group_name_H-M 'P 1'
_symmetry_Int_Tables_number 1
loop_
_symmetry_equiv_pos_as_xyz
'x,y,z'
loop_
_atom_site_label
_atom_site_fract_x
_atom_site_fract_y
_atom_site_fract_z
Mg1 0.000 0.000 0.986
Tl1 0.000 0.000 0.501
Mg2 0.500 0.500 0.250
Al1 0.500 0.500 0.762
```